A plane-wave DFT calculation with PBE-GGA was carried out for a geometry-optimized Li2CeHg4 structure.

Properties
DFT formation energy: -0.29 eV/atom
SG: Immm

Geometry as extended XYZ:
```
7
Lattice="4.808 0.000 -1.096 -0.167 3.142 -0.734 -0.174 0.742 10.327" Properties=species:S:1:pos:R:3 pbc="T T T"
Li 3.615 2.966 4.763
Li 0.851 0.918 3.734
Ce 2.404 0.000 -0.548
Hg 3.021 2.327 2.160
Hg 1.445 1.557 6.336
Hg 0.248 1.929 1.089
Hg 4.218 1.955 7.407
```

***

A plane-wave DFT calculation with PBE-GGA was carried out for a geometry-optimized Hf2SO structure.

Properties
uncorrected formation energy: -1.21 eV per atom
SG: Fm-3m

Geometry as extended XYZ:
```
4
Lattice="-4.294 -0.193 0.211 -2.004 0.697 3.744 -2.290 3.597 0.578" Properties=species:S:1:pos:R:3 pbc="T T T"
S -4.294 2.050 2.266
Hf -2.147 1.025 1.133
Hf -6.441 3.076 3.400
O 0.000 0.000 0.000
```

***

A plane-wave DFT calculation with PBE-GGA was carried out for a geometry-optimized Cr2RhC structure.

Properties
DFT formation energy: -0.10 eV/atom
SG: R3m

Geometry as extended XYZ:
```
4
Lattice="-2.508 1.251 0.089 -2.326 -1.486 -0.491 -2.065 -1.434 6.121" Properties=species:S:1:pos:R:3 pbc="T T T"
Cr -1.987 -1.203 5.055
Cr -1.688 -0.307 0.922
Rh -3.449 -0.834 2.854
C -3.224 -0.160 -0.252
```

***

no.,D(E_F) (states/eV per atom)
1,1.12
2,0.16
3,0.96